No. 1
# Zr4InSiN2 PBE optimized geometry
data_Zr4InSiN2
_chemical_formula_sum 'Zr4 In1 Si1 N2'
_cell_length_a 3.289
_cell_length_b 3.289
_cell_length_c 14.171
_cell_angle_alpha 90.00
_cell_angle_beta 90.00
_cell_angle_gamma 120.00
_space_group_name_H-M_alt 'P 1'
_space_group_IT_number 1
_space_group_name_Hall 'P 1'
loop_
_atom_site_label
_atom_site_type_symbol
_atom_site_fract_x
_atom_site_fract_y
_atom_site_fract_z
In1 In 0.000 0.000 0.000
Zr1 Zr 0.000 0.000 0.646
Zr2 Zr 0.000 0.000 0.354
Zr3 Zr 0.667 0.333 0.825
Zr4 Zr 0.667 0.333 0.175
N1 N 0.333 0.667 0.262
N2 N 0.333 0.667 0.738
Si1 Si 0.667 0.333 0.500
# Space group = No. 187
# Total DFT energy (no corrections) = -8.473 eV/atom

No. 2
# Zr4InSnN2 PBE optimized geometry
data_Zr4InSnN2
_chemical_formula_sum 'Zr4 In1 Sn1 N2'
_cell_length_a 3.301
_cell_length_b 3.301
_cell_length_c 14.845
_cell_angle_alpha 90.00
_cell_angle_beta 90.00
_cell_angle_gamma 120.00
_space_group_name_H-M_alt 'P 1'
_space_group_IT_number 1
_space_group_name_Hall 'P 1'
loop_
_atom_site_label
_atom_site_type_symbol
_atom_site_fract_x
_atom_site_fract_y
_atom_site_fract_z
Zr1 Zr 0.000 0.000 0.337
Zr2 Zr 0.667 0.333 0.167
Zr3 Zr 0.000 0.000 0.663
Zr4 Zr 0.667 0.333 0.833
N1 N 0.333 0.667 0.750
N2 N 0.333 0.667 0.250
Sn1 Sn 0.667 0.333 0.500
In1 In 0.000 0.000 0.000
# Space group = No. 187
# Total DFT energy (no corrections) = -8.283 eV/atom

No. 3
# Sr2InTcN6 PBE optimized geometry
data_Sr2InTcN6
_chemical_formula_sum 'Sr2 In1 Tc1 N6'
_cell_length_a 5.788
_cell_length_b 5.788
_cell_length_c 5.921
_cell_angle_alpha 120.08
_cell_angle_beta 120.08
_cell_angle_gamma 59.87
_space_group_name_H-M_alt 'P 1'
_space_group_IT_number 1
_space_group_name_Hall 'P 1'
loop_
_atom_site_label
_atom_site_type_symbol
_atom_site_fract_x
_atom_site_fract_y
_atom_site_fract_z
N1 N 0.225 0.702 0.697
N2 N 0.298 0.775 0.303
N3 N 0.733 0.733 0.799
N4 N 0.702 0.225 0.697
N5 N 0.775 0.298 0.303
N6 N 0.267 0.267 0.201
Tc1 Tc 0.500 0.500 0.500
Sr1 Sr 0.753 0.753 0.256
Sr2 Sr 0.247 0.247 0.744
In1 In 0.000 0.000 0.000
# Space group = No. 12
# Total DFT energy (no corrections) = -6.266 eV/atom

No. 4
# Sr2InTcN6 PBE optimized geometry
data_Sr2InTcN6
_chemical_formula_sum 'Sr2 In1 Tc1 N6'
_cell_length_a 5.769
_cell_length_b 5.776
_cell_length_c 5.837
_cell_angle_alpha 60.56
_cell_angle_beta 61.35
_cell_angle_gamma 60.42
_space_group_name_H-M_alt 'P 1'
_space_group_IT_number 1
_space_group_name_Hall 'P 1'
loop_
_atom_site_label
_atom_site_type_symbol
_atom_site_fract_x
_atom_site_fract_y
_atom_site_fract_z
In1 In 0.000 0.500 0.000
Sr1 Sr 0.249 0.748 0.256
Sr2 Sr 0.751 0.252 0.744
N1 N 0.238 0.277 0.695
N2 N 0.762 0.723 0.305
N3 N 0.333 0.236 0.201
N4 N 0.223 0.806 0.700
N5 N 0.777 0.194 0.300
N6 N 0.667 0.764 0.799
Tc1 Tc 0.500 0.000 0.500
# Space group = No. 2
# Total DFT energy (no corrections) = -6.266 eV/atom

No. 5
# TaIn2N PBE optimized geometry
data_TaIn2N
_chemical_formula_sum 'Ta2 In4 N2'
_cell_length_a 3.176
_cell_length_b 3.176
_cell_length_c 15.328
_cell_angle_alpha 90.00
_cell_angle_beta 90.00
_cell_angle_gamma 120.00
_space_group_name_H-M_alt 'P 1'
_space_group_IT_number 1
_space_group_name_Hall 'P 1'
loop_
_atom_site_label
_atom_site_type_symbol
_atom_site_fract_x
_atom_site_fract_y
_atom_site_fract_z
In1 In 0.333 0.667 0.093
In2 In 0.667 0.333 0.907
In3 In 0.333 0.667 0.407
In4 In 0.667 0.333 0.593
N1 N 0.000 0.000 0.500
N2 N 0.000 0.000 0.000
Ta1 Ta 0.667 0.333 0.250
Ta2 Ta 0.333 0.667 0.750
# Space group = No. 194
# Total DFT energy (no corrections) = -6.015 eV/atom

No. 6
# Ta2In3N6 PBE optimized geometry
data_Ta2In3N6
_chemical_formula_sum 'Ta2 In3 N6'
_cell_length_a 10.696
_cell_length_b 10.696
_cell_length_c 10.696
_cell_angle_alpha 159.45
_cell_angle_beta 159.45
_cell_angle_gamma 29.22
_space_group_name_H-M_alt 'P 1'
_space_group_IT_number 1
_space_group_name_Hall 'P 1'
loop_
_atom_site_label
_atom_site_type_symbol
_atom_site_fract_x
_atom_site_fract_y
_atom_site_fract_z
N1 N 0.071 0.571 0.500
N2 N 0.700 0.700 0.000
N3 N 0.571 0.071 0.500
N4 N 0.300 0.300 0.000
N5 N 0.929 0.429 0.500
N6 N 0.429 0.929 0.500
In1 In 0.000 0.000 0.000
In2 In 0.807 0.807 0.000
In3 In 0.193 0.193 0.000
Ta1 Ta 0.395 0.395 0.000
Ta2 Ta 0.605 0.605 0.000
# Space group = No. 139
# Total DFT energy (no corrections) = -7.478 eV/atom

No. 7
# Ta3InN5 PBE optimized geometry
data_Ta3InN5
_chemical_formula_sum 'Ta3 In1 N5'
_cell_length_a 5.424
_cell_length_b 5.424
_cell_length_c 5.758
_cell_angle_alpha 90.00
_cell_angle_beta 90.00
_cell_angle_gamma 120.00
_space_group_name_H-M_alt 'P 1'
_space_group_IT_number 1
_space_group_name_Hall 'P 1'
loop_
_atom_site_label
_atom_site_type_symbol
_atom_site_fract_x
_atom_site_fract_y
_atom_site_fract_z
N1 N 0.333 0.667 0.266
N2 N 0.667 0.333 0.266
N3 N 0.333 0.667 0.734
N4 N 0.000 0.000 0.500
N5 N 0.667 0.333 0.734
In1 In 0.000 0.000 0.000
Ta1 Ta 0.500 0.000 0.500
Ta2 Ta 0.500 0.500 0.500
Ta3 Ta 0.000 0.500 0.500
# Space group = No. 191
# Total DFT energy (no corrections) = -8.584 eV/atom

No. 8
# Ta4In3W2N3 PBE optimized geometry
data_Ta4In3W2N3
_chemical_formula_sum 'Ta8 In6 W4 N6'
_cell_length_a 5.207
_cell_length_b 5.215
_cell_length_c 15.365
_cell_angle_alpha 80.34
_cell_angle_beta 80.24
_cell_angle_gamma 60.05
_space_group_name_H-M_alt 'P 1'
_space_group_IT_number 1
_space_group_name_Hall 'P 1'
loop_
_atom_site_label
_atom_site_type_symbol
_atom_site_fract_x
_atom_site_fract_y
_atom_site_fract_z
Ta1 Ta 0.140 0.468 0.089
Ta2 Ta 0.304 0.968 0.589
Ta3 Ta 0.199 0.862 0.912
Ta4 Ta 0.860 0.532 0.911
Ta5 Ta 0.026 0.362 0.412
Ta6 Ta 0.801 0.138 0.088
Ta7 Ta 0.696 0.032 0.411
Ta8 Ta 0.974 0.638 0.588
N1 N 0.835 0.832 0.000
N2 N 0.667 0.668 0.500
N3 N 0.333 0.332 0.500
N4 N 0.000 0.000 0.500
N5 N 0.165 0.168 0.000
N6 N 0.500 0.500 0.000
In1 In 0.586 0.921 0.750
In2 In 0.257 0.579 0.750
In3 In 0.414 0.079 0.250
In4 In 0.743 0.421 0.250
In5 In 0.915 0.250 0.750
In6 In 0.085 0.750 0.250
W1 W 0.469 0.807 0.091
W2 W 0.531 0.193 0.909
W3 W 0.367 0.693 0.409
W4 W 0.633 0.307 0.591
# Space group = No. 15
# Total DFT energy (no corrections) = -9.060 eV/atom

No. 9
# Ta3In3W2N12 PBE optimized geometry
data_Ta3In3W2N12
_chemical_formula_sum 'Ta12 In12 W8 N48'
_cell_length_a 10.987
_cell_length_b 10.987
_cell_length_c 10.987
_cell_angle_alpha 109.47
_cell_angle_beta 109.47
_cell_angle_gamma 109.47
_space_group_name_H-M_alt 'P 1'
_space_group_IT_number 1
_space_group_name_Hall 'P 1'
loop_
_atom_site_label
_atom_site_type_symbol
_atom_site_fract_x
_atom_site_fract_y
_atom_site_fract_z
Ta1 Ta 0.125 0.875 0.250
Ta2 Ta 0.250 0.125 0.875
Ta3 Ta 0.875 0.250 0.125
Ta4 Ta 0.250 0.625 0.375
Ta5 Ta 0.375 0.625 0.750
Ta6 Ta 0.875 0.125 0.750
Ta7 Ta 0.625 0.750 0.375
Ta8 Ta 0.750 0.375 0.625
Ta9 Ta 0.125 0.750 0.875
Ta10 Ta 0.750 0.875 0.125
Ta11 Ta 0.375 0.250 0.625
Ta12 Ta 0.625 0.375 0.250
N1 N 0.705 0.528 0.613
N2 N 0.705 0.677 0.092
N3 N 0.613 0.408 0.085
N4 N 0.795 0.408 0.823
N5 N 0.592 0.177 0.205
N6 N 0.887 0.972 0.795
N7 N 0.295 0.323 0.908
N8 N 0.613 0.705 0.528
N9 N 0.323 0.915 0.028
N10 N 0.205 0.113 0.028
N11 N 0.092 0.887 0.415
N12 N 0.408 0.823 0.795
N13 N 0.092 0.705 0.677
N14 N 0.415 0.092 0.887
N15 N 0.387 0.592 0.915
N16 N 0.592 0.915 0.387
N17 N 0.085 0.972 0.677
N18 N 0.295 0.472 0.387
N19 N 0.028 0.205 0.113
N20 N 0.113 0.028 0.205
N21 N 0.177 0.205 0.592
N22 N 0.113 0.585 0.908
N23 N 0.972 0.795 0.887
N24 N 0.205 0.592 0.177
N25 N 0.472 0.585 0.177
N26 N 0.823 0.795 0.408
N27 N 0.585 0.177 0.472
N28 N 0.677 0.092 0.705
N29 N 0.085 0.613 0.408
N30 N 0.387 0.295 0.472
N31 N 0.908 0.113 0.585
N32 N 0.472 0.387 0.295
N33 N 0.177 0.472 0.585
N34 N 0.415 0.823 0.528
N35 N 0.908 0.295 0.323
N36 N 0.408 0.085 0.613
N37 N 0.528 0.613 0.705
N38 N 0.915 0.028 0.323
N39 N 0.585 0.908 0.113
N40 N 0.795 0.887 0.972
N41 N 0.323 0.908 0.295
N42 N 0.915 0.387 0.592
N43 N 0.972 0.677 0.085
N44 N 0.887 0.415 0.092
N45 N 0.528 0.415 0.823
N46 N 0.677 0.085 0.972
N47 N 0.028 0.323 0.915
N48 N 0.823 0.528 0.415
In1 In 0.750 0.125 0.375
In2 In 0.375 0.125 0.250
In3 In 0.250 0.875 0.625
In4 In 0.125 0.250 0.375
In5 In 0.375 0.750 0.125
In6 In 0.750 0.625 0.875
In7 In 0.625 0.250 0.875
In8 In 0.250 0.375 0.125
In9 In 0.875 0.625 0.250
In10 In 0.125 0.375 0.750
In11 In 0.875 0.750 0.625
In12 In 0.625 0.875 0.750
W1 W 0.500 0.500 0.000
W2 W 0.500 0.500 0.500
W3 W 0.000 0.000 0.000
W4 W 0.500 0.000 0.000
W5 W 0.500 0.000 0.500
W6 W 0.000 0.500 0.500
W7 W 0.000 0.000 0.500
W8 W 0.000 0.500 0.000
# Space group = No. 230
# Total DFT energy (no corrections) = -8.595 eV/atom

No. 10
# Ta2In3W4N3 PBE optimized geometry
data_Ta2In3W4N3
_chemical_formula_sum 'Ta4 In6 W8 N6'
_cell_length_a 5.365
_cell_length_b 5.365
_cell_length_c 14.953
_cell_angle_alpha 102.74
_cell_angle_beta 102.74
_cell_angle_gamma 60.26
_space_group_name_H-M_alt 'P 1'
_space_group_IT_number 1
_space_group_name_Hall 'P 1'
loop_
_atom_site_label
_atom_site_type_symbol
_atom_site_fract_x
_atom_site_fract_y
_atom_site_fract_z
W1 W 0.956 0.844 0.922
W2 W 0.162 0.305 0.421
W3 W 0.838 0.695 0.579
W4 W 0.044 0.156 0.078
W5 W 0.844 0.956 0.422
W6 W 0.156 0.044 0.578
W7 W 0.305 0.162 0.921
W8 W 0.695 0.838 0.079
In1 In 0.194 0.449 0.753
In2 In 0.907 0.093 0.750
In3 In 0.551 0.806 0.747
In4 In 0.806 0.551 0.247
In5 In 0.093 0.907 0.250
In6 In 0.449 0.194 0.253
N1 N 0.658 0.244 0.982
N2 N 0.244 0.658 0.482
N3 N 0.342 0.756 0.018
N4 N 0.756 0.342 0.518
N5 N 0.000 0.500 0.000
N6 N 0.500 0.000 0.500
Ta1 Ta 0.461 0.397 0.597
Ta2 Ta 0.603 0.539 0.903
Ta3 Ta 0.397 0.461 0.097
Ta4 Ta 0.539 0.603 0.403
# Space group = No. 15
# Total DFT energy (no corrections) = -8.989 eV/atom

No. 11
# Y4Ta2In3N3 PBE optimized geometry
data_Y4Ta2In3N3
_chemical_formula_sum 'Y8 Ta4 In6 N6'
_cell_length_a 5.924
_cell_length_b 5.924
_cell_length_c 15.169
_cell_angle_alpha 101.46
_cell_angle_beta 101.46
_cell_angle_gamma 60.33
_space_group_name_H-M_alt 'P 1'
_space_group_IT_number 1
_space_group_name_Hall 'P 1'
loop_
_atom_site_label
_atom_site_type_symbol
_atom_site_fract_x
_atom_site_fract_y
_atom_site_fract_z
Y1 Y 0.697 0.873 0.591
Y2 Y 0.303 0.127 0.409
Y3 Y 0.127 0.303 0.909
Y4 Y 0.960 0.810 0.409
Y5 Y 0.040 0.190 0.591
Y6 Y 0.873 0.697 0.091
Y7 Y 0.810 0.960 0.909
Y8 Y 0.190 0.040 0.091
Ta1 Ta 0.351 0.524 0.570
Ta2 Ta 0.649 0.476 0.430
Ta3 Ta 0.524 0.351 0.070
Ta4 Ta 0.476 0.649 0.930
In1 In 0.128 0.872 0.750
In2 In 0.872 0.128 0.250
In3 In 0.418 0.292 0.753
In4 In 0.292 0.418 0.253
In5 In 0.708 0.582 0.747
In6 In 0.582 0.708 0.247
N1 N 0.811 0.344 0.000
N2 N 0.344 0.811 0.500
N3 N 0.500 0.000 0.000
N4 N 0.000 0.500 0.500
N5 N 0.189 0.656 0.000
N6 N 0.656 0.189 0.500
# Space group = No. 15
# Total DFT energy (no corrections) = -7.792 eV/atom

No. 12
# Y2Ta4In3N3 PBE optimized geometry
data_Y2Ta4In3N3
_chemical_formula_sum 'Y4 Ta8 In6 N6'
_cell_length_a 5.775
_cell_length_b 5.775
_cell_length_c 14.429
_cell_angle_alpha 101.60
_cell_angle_beta 101.60
_cell_angle_gamma 60.44
_space_group_name_H-M_alt 'P 1'
_space_group_IT_number 1
_space_group_name_Hall 'P 1'
loop_
_atom_site_label
_atom_site_type_symbol
_atom_site_fract_x
_atom_site_fract_y
_atom_site_fract_z
N1 N 0.500 0.000 0.500
N2 N 0.827 0.337 0.500
N3 N 0.000 0.500 0.000
N4 N 0.337 0.827 0.000
N5 N 0.663 0.173 0.000
N6 N 0.173 0.663 0.500
Y1 Y 0.378 0.537 0.108
Y2 Y 0.463 0.622 0.392
Y3 Y 0.622 0.463 0.892
Y4 Y 0.537 0.378 0.608
In1 In 0.583 0.861 0.752
In2 In 0.861 0.583 0.252
In3 In 0.139 0.417 0.748
In4 In 0.976 0.024 0.250
In5 In 0.024 0.976 0.750
In6 In 0.417 0.139 0.248
Ta1 Ta 0.851 0.694 0.571
Ta2 Ta 0.149 0.306 0.429
Ta3 Ta 0.978 0.807 0.929
Ta4 Ta 0.306 0.149 0.929
Ta5 Ta 0.193 0.022 0.571
Ta6 Ta 0.694 0.851 0.071
Ta7 Ta 0.022 0.193 0.071
Ta8 Ta 0.807 0.978 0.429
# Space group = No. 15
# Total DFT energy (no corrections) = -8.491 eV/atom

Question: Which value of total DFT energy (no corrections) does entry 2 give?
Answer: -8.283 eV/atom

Question: Which value of total DFT energy (no corrections) does entry 10 give?
Answer: -8.989 eV/atom